Record 1
GaHgSe, relaxed, DFT PBE; crystal system = orthorhombic; E above lowest polymorph = 1.0 meV/atom
1.0
-2.4539 2.9265 -0.3674
-2.2042 -2.5288 -5.4287
-4.8865 -0.8114 6.1123
Ga Hg Se
2 2 2
direct
0.8033 0.3060 0.5018
0.1770 0.9324 0.7544
0.4903 0.5644 0.1280
0.9903 0.1664 0.1281
0.1969 0.5120 0.7144
0.7835 0.9256 0.5417

Record 2
GaHg2Se2, relaxed, DFT PBE; crystal system = tetragonal
1.0
7.9449 0.0000 0.0000
0.0000 7.9449 0.0000
0.0000 0.0000 4.2757
Se Hg Ga
4 4 2
direct
0.2724 0.7724 0.0000
0.2276 0.2724 0.0000
0.7276 0.2276 0.0000
0.7724 0.7276 0.0000
0.6203 0.8797 0.5000
0.1203 0.6203 0.5000
0.8797 0.3797 0.5000
0.3797 0.1203 0.5000
0.5000 0.5000 0.0000
0.0000 0.0000 0.0000

Record 3
GaHgSe3, relaxed, DFT PBE; crystal system = cubic; E above lowest polymorph = 560.2 meV/atom
1.0
-1.0886 -0.3312 -4.9083
4.5222 -2.0464 -0.8648
-1.9367 -4.5922 0.7394
Se Hg Ga
3 1 1
direct
0.0000 0.0000 0.5000
0.5000 0.0000 0.0000
0.0000 0.5000 0.0000
0.5000 0.5000 0.5000
0.0000 0.0000 0.0000

no.,raw formation energy (meV/atom),total energy (eV per atom)
1,-328,-2.60
2,4,-2.12
3,306,-2.45